[1]
Rb2VInF6 after structural relaxation. Source: Alexandria via LeMat-Bulk, functional GGA+U.

The electronic total energy is -99.38 eV for the cell shown. Its density is 3.902 Mg/m³.

It has space group I4/mmm (No. 139), with a = 6.458 Å, b = 6.458 Å, c = 9.199 Å, α = 90.00°, β = 90.00° and γ = 90.00°. The distinct sites, in fractional coordinates, are Rb at (0.000, 0.500, 0.250), V at (0.000, 0.000, 0.000), In at (0.000, 0.000, 0.500), F at (0.000, 0.000, 0.222) and F at (0.216, 0.216, 0.000).


[2]
RbVInF6 after structural relaxation. Source: Alexandria via LeMat-Bulk, functional GGA+U.

The electronic total energy is -91.32 eV for the cell shown. Its density is 3.831 Mg/m³.

It has space group Cm (No. 8), with a = 10.204 Å, b = 6.108 Å, c = 5.083 Å, α = 90.00°, β = 92.10° and γ = 90.00°. The distinct sites, in fractional coordinates, are Rb at (0.000, 0.000, 0.000), V at (0.345, 0.000, 0.656), In at (0.170, 0.500, 0.422), F at (0.229, 0.000, 0.372), F at (0.244, 0.226, 0.811), F at (0.451, 0.222, 0.500) and F at (0.463, 0.000, 0.939).


[3]
Rb4V3InF12 after structural relaxation. Source: Alexandria via LeMat-Bulk, functional GGA+U.

The electronic total energy is -208.33 eV for the cell shown. Its density is 4.194 Mg/m³.

It has space group Im-3m (No. 229), with a = 8.721 Å, b = 8.721 Å, c = 8.721 Å, α = 90.00°, β = 90.00° and γ = 90.00°. The distinct sites, in fractional coordinates, are Rb at (0.250, 0.250, 0.250), V at (0.000, 0.000, 0.500), In at (0.000, 0.000, 0.000), F at (0.000, 0.000, 0.260) and F at (0.000, 0.250, 0.500).